VASP calculation (PBE) on an optimized crystal structure of NpNiGe2Os.

```
NpNiGe2Os
1.0
-2.000 0.221 3.493
-1.573 -3.651 -0.669
5.879 -0.504 1.071
Ni Np Ge Os
1 1 2 1
Direct
0.250 0.750 0.500 Ni
0.000 0.000 0.000 Np
0.379 0.379 0.757 Ge
0.621 0.621 0.243 Ge
0.750 0.250 0.500 Os
```

Values from the calculation:
**VASP energy**: -40.13 eV for the cell shown
**Size of the total moment**: 4.145 μB/cell
**Energy relative to the elements**: -18.3 kJ/mol of atoms
**Density of states at the Fermi level**: 10.64 states/eV/f.u.

***

VASP calculation (PBE) on an optimized crystal structure of NpNi2GeP.

```
NpNi2GeP
1.0
-3.925 -1.069 0.248
0.275 -0.066 4.066
-1.442 5.334 0.184
Ni P Ge Np
2 1 1 1
Direct
0.000 0.500 0.895 Ni
0.500 0.000 0.895 Ni
0.000 0.000 0.049 P
0.500 0.500 0.647 Ge
0.000 0.000 0.513 Np
```

Values from the calculation:
**VASP energy**: -34.53 eV for the cell shown
**Size of the total moment**: 0.305 μB/cell
**Energy relative to the elements**: 0.0 kJ/mol of atoms
**Density of states at the Fermi level**: 13.90 states/eV/f.u.

***

VASP calculation (PBE) on an optimized crystal structure of Np2Ni4Ge3P.

```
Np2Ni4Ge3P
1.0
4.120 0.000 0.000
0.000 4.120 0.000
0.000 0.000 9.285
Ge Ni Np P
3 4 2 1
Direct
0.000 0.000 0.500 Ge
0.000 0.500 0.134 Ge
0.500 0.000 0.866 Ge
0.500 0.500 0.000 Ni
0.000 0.000 0.000 Ni
0.000 0.500 0.387 Ni
0.500 0.000 0.613 Ni
0.500 0.000 0.253 Np
0.000 0.500 0.747 Np
0.500 0.500 0.500 P
```

Values from the calculation:
**VASP energy**: -72.54 eV for the cell shown
**Size of the total moment**: 7.411 μB/cell
**Energy relative to the elements**: -41.2 kJ/mol of atoms
**Density of states at the Fermi level**: 23.01 states/eV/f.u.

***

VASP calculation (PBE) on an optimized crystal structure of NpNi7Ge2P2.

```
NpNi7Ge2P2
1.0
3.935 -0.544 -0.335
-0.540 3.936 -0.335
0.681 0.680 11.450
Ni Np P Ge
7 1 2 2
Direct
0.500 0.500 0.000 Ni
0.568 0.186 0.819 Ni
0.814 0.432 0.181 Ni
0.432 0.814 0.181 Ni
0.186 0.568 0.819 Ni
0.240 0.240 0.433 Ni
0.760 0.760 0.567 Ni
0.000 0.000 0.000 Np
0.741 0.741 0.757 P
0.259 0.259 0.243 P
0.254 0.254 0.633 Ge
0.746 0.746 0.367 Ge
```

Values from the calculation:
**VASP energy**: -74.76 eV for the cell shown
**Size of the total moment**: 3.167 μB/cell
**Energy relative to the elements**: -10.4 kJ/mol of atoms
**Density of states at the Fermi level**: 12.55 states/eV/f.u.